1.
Material: Y4Tm3Ga4
Method: DFT, GGA-PBE
State: relaxed

Calculated values
space group: No. 71
energy of formation from the pure elements: -4.67 eV/f.u.

Unit cell a=10.098 b=10.098 c=10.098 alpha=159.88 beta=126.94 gamma=57.32
Fractional coordinates of all 11 atoms:
1 Y 0.020 0.835 0.186
2 Y 0.351 0.165 0.186
3 Y 0.649 0.835 0.814
4 Y 0.980 0.165 0.814
5 Tm 0.000 0.500 0.500
6 Tm 0.405 0.405 0.000
7 Tm 0.595 0.595 0.000
8 Ga 0.273 0.773 0.500
9 Ga 0.278 0.000 0.278
10 Ga 0.722 0.000 0.722
11 Ga 0.727 0.227 0.500

2.
Material: LaCuNi2
Method: DFT, GGA-PBE
State: relaxed

Calculated values
space group: No. 119
energy of formation from the pure elements: -0.15 eV/f.u.

Unit cell a=5.053 b=5.053 c=5.053 alpha=134.22 beta=134.22 gamma=66.74
Fractional coordinates of all 4 atoms:
1 La 0.000 0.000 0.000
2 Cu 0.750 0.250 0.500
3 Ni 0.250 0.750 0.500
4 Ni 0.500 0.500 0.000

3.
Material: TaSbW2
Method: DFT, GGA-PBE
State: relaxed

Calculated values
space group: No. 6
total DFT energy (no corrections): -10.099 eV per atom

Unit cell a=2.995 b=4.358 c=5.536 alpha=90.00 beta=95.27 gamma=90.00
Fractional coordinates of all 4 atoms:
1 Ta 0.000 0.000 0.000
2 Sb 0.421 0.500 0.736
3 W 0.437 0.500 0.241
4 W 0.844 0.000 0.468

4.
Material: MgZr2Cd
Method: DFT, GGA-PBE
State: relaxed

Calculated values
space group: No. 10
energy of formation from the pure elements: 0.06 eV/f.u.

Unit cell a=2.978 b=5.251 c=5.776 alpha=90.00 beta=103.92 gamma=90.00
Fractional coordinates of all 4 atoms:
1 Mg 0.000 0.000 0.000
2 Zr 0.222 0.500 0.757
3 Zr 0.778 0.500 0.243
4 Cd 0.500 0.000 0.500